[1]
A relaxed Nb3AuN crystal. Source: Alexandria via LeMat-Bulk, functional GGA-PBE.

## Properties
**Uncorrected formation energy**: -54 meV per atom

Cell lengths 7.8029, 7.8029, 9.4117 Å; angles 90.00, 90.00, 120.00 degrees
Space group R-3c (No. 167, hexagonal axes)
Asymmetric unit:
Nb 0.0000 0.2524 0.2500 [18 per cell]
Au 0.0000 0.0000 0.0000 [6 per cell]
N 0.0000 0.0000 0.2500 [6 per cell]



[2]
A relaxed Na2PuHg crystal. Source: Alexandria via LeMat-Bulk, functional GGA-PBE.

## Properties
**Formation energy from the elements**: 0.20 eV/atom

Cell lengths 3.3633, 3.3633, 36.2062 Å; angles 90.00, 90.00, 120.00 degrees
Space group R-3m (No. 166, hexagonal axes)
Asymmetric unit:
Na 0.0000 0.0000 0.0950 [6 per cell]
Pu 0.0000 0.0000 0.0000 [3 per cell]
Hg 0.0000 0.0000 0.5000 [3 per cell]



[3]
A relaxed K3Zn6Sb5 crystal. Source: Alexandria via LeMat-Bulk, functional GGA-PBE.

## Properties
**Uncorrected formation energy**: -219 meV per atom

Cell lengths 4.5425, 14.1314, 11.7387 Å; angles 90.00, 90.00, 90.00 degrees
Space group Pmmn (No. 59, origin choice 2)
Asymmetric unit:
K 0.2500 0.0986 0.2477 [4 per cell]
K 0.2500 0.7500 0.2573 [2 per cell]
Zn 0.2500 0.0589 0.8784 [4 per cell]
Zn 0.2500 0.2500 0.5212 [2 per cell]
Zn 0.2500 0.2500 0.9931 [2 per cell]
Zn 0.2500 0.5819 0.4918 [4 per cell]
Sb 0.2500 0.0753 0.6438 [4 per cell]
Sb 0.2500 0.6136 0.9996 [4 per cell]
Sb 0.2500 0.7500 0.6110 [2 per cell]



[4]
A relaxed Sb3PIr crystal. Source: Alexandria via LeMat-Bulk, functional GGA-PBE.

## Properties
**Uncorrected formation energy**: 751 meV per atom

Cell lengths 5.1576, 5.1576, 5.1576 Å; angles 90.00, 90.00, 90.00 degrees
Space group Pm-3m (No. 221)
Asymmetric unit:
Sb 0.0000 0.0000 0.5000 [3 per cell]
P 0.5000 0.5000 0.5000 [1 per cell]
Ir 0.0000 0.0000 0.0000 [1 per cell]